# 1
A geometry-optimized LiRe2Se structure, computed with PBE.

As for the total energy: -57.6 eV for the cell shown.

It has space group C2/m (No. 12), with a = 9.357 Å, b = 2.982 Å, c = 4.390 Å, α = 90.00°, β = 98.83° and γ = 90.00°. The inequivalent atoms are Li at (0.000, 0.000, 0.000), Re at (0.240, 0.000, 0.755) and Se at (0.000, 0.500, 0.500).



# 2
A geometry-optimized Ac4CdAg structure, computed with PBE.

As for the total energy: -20.0 eV for the cell shown. For the formation energy, the calculation gives 4 kJ per mole of atoms. As for the polymorph energy (0 for the lowest one): 4.71 kcal/mol of atoms.

It has space group P4/mmm (No. 123), with a = 5.544 Å, b = 5.544 Å, c = 7.920 Å, α = 90.00°, β = 90.00° and γ = 90.00°. The inequivalent atoms are Ac at (0.000, 0.500, 0.243), Cd at (0.000, 0.000, 0.500) and Ag at (0.500, 0.500, 0.000).



# 3
A geometry-optimized Hg2SbAu structure, computed with PBE.

As for the total energy: -22.3 eV for the cell shown.

It has space group R3m (No. 160, hexagonal axes), with a = 4.6261 Å, b = 4.6261 Å, c = 16.6908 Å, α = 90.00°, β = 90.00° and γ = 120.00°. The inequivalent atoms are Hg at (0.0000, 0.0000, 0.0000), Hg at (0.0000, 0.0000, 0.1939), Sb at (0.0000, 0.0000, 0.4251) and Au at (0.0000, 0.0000, 0.5950).



# 4
A geometry-optimized Ta3GaBi structure, computed with PBE.

As for the total energy: -36.5 eV for the cell shown. For the formation energy, the calculation gives 115 kJ per mole of atoms. As for the polymorph energy (0 for the lowest one): 0.00 kcal/mol of atoms.

It has space group Pm-3m (No. 221), with a = 4.813 Å, b = 4.813 Å, c = 4.813 Å, α = 90.00°, β = 90.00° and γ = 90.00°. The inequivalent atoms are Ta at (0.000, 0.000, 0.500), Ga at (0.000, 0.000, 0.000) and Bi at (0.500, 0.500, 0.500).



# 5
A geometry-optimized Rb3Pu3TaS8 structure, computed with PBE.

As for the total energy: -223.9 eV for the cell shown.

It has space group C2/m (No. 12), with a = 13.847 Å, b = 7.986 Å, c = 9.080 Å, α = 90.00°, β = 120.40° and γ = 90.00°. The inequivalent atoms are Rb at (0.000, 0.000, 0.000), Rb at (0.250, 0.250, 0.000), Pu at (0.000, 0.500, 0.500), Pu at (0.250, 0.250, 0.500), Ta at (0.000, 0.000, 0.500), S at (0.015, 0.227, 0.320), S at (0.212, 0.000, 0.679) and S at (0.232, 0.500, 0.695).



# 6
A geometry-optimized CrSbS2 structure, computed with PBE.

As for the total energy: -93.6 eV for the cell shown.

It has space group Cm (No. 8), with a = 13.257 Å, b = 3.425 Å, c = 8.520 Å, α = 90.00°, β = 112.93° and γ = 90.00°. The inequivalent atoms are Cr at (0.000, 0.000, 0.000), Cr at (0.043, 0.500, 0.761), Sb at (0.333, 0.000, 0.007), Sb at (0.460, 0.000, 0.407), S at (0.063, 0.000, 0.310), S at (0.125, 0.500, 0.048), S at (0.159, 0.000, 0.734) and S at (0.411, 0.500, 0.710).